Here is crystalline CsNdI6 at its relaxed geometry from the Alexandria database. Energies are from PBE. Values from VASP.

The structure in Quantum ESPRESSO input format:
```
&SYSTEM
  ibrav = 0, nat = 8, ntyp = 3
/
ATOMIC_SPECIES
Cs 132.91 Cs.upf
Nd 144.24 Nd.upf
I 126.90 I.upf
ATOMIC_POSITIONS crystal
Cs 0.000 0.000 0.000
Nd 0.500 0.500 0.500
I 0.208 0.208 0.597
I 0.208 0.597 0.208
I 0.403 0.792 0.792
I 0.597 0.208 0.208
I 0.792 0.403 0.792
I 0.792 0.792 0.403
CELL_PARAMETERS angstrom
5.457 3.151 3.951
-5.457 3.151 3.951
0.000 -6.301 3.951
```

Computed properties:
Formation energy (no corrections), meV per atom: -928



Here is crystalline YZrW2 at its relaxed geometry from the Alexandria database. Energies are from PBE. Values from VASP.

The structure in Quantum ESPRESSO input format:
```
&SYSTEM
  ibrav = 0, nat = 4, ntyp = 3
/
ATOMIC_SPECIES
Y 88.91 Y.upf
Zr 91.22 Zr.upf
W 183.84 W.upf
ATOMIC_POSITIONS crystal
Y 0.000 0.000 0.000
Zr 0.000 0.000 0.500
W 0.500 0.500 0.262
W 0.500 0.500 0.738
CELL_PARAMETERS angstrom
1.684 -2.394 0.000
1.684 2.394 0.000
0.000 0.000 9.756
```

Computed properties:
Calculated formation energy, eV per atom: 0.473
Energy relative to the lowest polymorph listed for this composition, eV per formula unit: 1.06



Here is crystalline Pr2Ga5Rh3 at its relaxed geometry from the Alexandria database. Energies are from PBE. Values from VASP.

The structure in Quantum ESPRESSO input format:
```
&SYSTEM
  ibrav = 0, nat = 20, ntyp = 3
/
ATOMIC_SPECIES
Pr 140.91 Pr.upf
Ga 69.72 Ga.upf
Rh 102.91 Rh.upf
ATOMIC_POSITIONS crystal
Pr 0.137 0.227 0.364
Pr 0.363 0.727 0.090
Pr 0.637 0.273 0.910
Pr 0.863 0.773 0.636
Ga 0.044 0.750 0.294
Ga 0.092 0.670 0.762
Ga 0.250 0.250 0.000
Ga 0.408 0.170 0.578
Ga 0.456 0.750 0.706
Ga 0.544 0.250 0.294
Ga 0.592 0.830 0.422
Ga 0.750 0.750 0.000
Ga 0.908 0.330 0.238
Ga 0.956 0.250 0.706
Rh 0.147 0.907 0.054
Rh 0.250 0.750 0.500
Rh 0.353 0.407 0.761
Rh 0.647 0.593 0.239
Rh 0.750 0.250 0.500
Rh 0.853 0.093 0.946
CELL_PARAMETERS angstrom
-5.075 6.426 2.899
5.075 -6.426 2.899
5.075 6.426 -2.899
```

Computed properties:
Calculated formation energy, eV per atom: -0.795



Here is crystalline ErAl2Cl8 at its relaxed geometry from the Alexandria database. Energies are from PBE. Values from VASP.

The structure in Quantum ESPRESSO input format:
```
&SYSTEM
  ibrav = 0, nat = 11, ntyp = 3
/
ATOMIC_SPECIES
Er 167.26 Er.upf
Al 26.98 Al.upf
Cl 35.45 Cl.upf
ATOMIC_POSITIONS crystal
Er 0.000 0.000 0.000
Al 0.185 0.185 0.642
Al 0.815 0.815 0.358
Cl 0.085 0.716 0.237
Cl 0.167 0.167 0.289
Cl 0.284 0.915 0.763
Cl 0.341 0.341 0.753
Cl 0.659 0.659 0.247
Cl 0.716 0.085 0.237
Cl 0.833 0.833 0.711
Cl 0.915 0.284 0.763
CELL_PARAMETERS angstrom
6.698 -4.469 0.000
6.698 4.469 0.000
-0.873 0.000 6.346
```

Computed properties:
Formation energy (no corrections), meV per atom: -1579



Here is crystalline Zr2Ga8Pt at its relaxed geometry from the Alexandria database. Energies are from PBE. Values from VASP.

The structure in Quantum ESPRESSO input format:
```
&SYSTEM
  ibrav = 0, nat = 11, ntyp = 3
/
ATOMIC_SPECIES
Zr 91.22 Zr.upf
Ga 69.72 Ga.upf
Pt 195.08 Pt.upf
ATOMIC_POSITIONS crystal
Zr 0.000 0.000 0.182
Zr 0.000 0.000 0.818
Ga 0.000 0.500 0.000
Ga 0.000 0.500 0.366
Ga 0.000 0.500 0.634
Ga 0.500 0.000 0.000
Ga 0.500 0.000 0.366
Ga 0.500 0.000 0.634
Ga 0.500 0.500 0.189
Ga 0.500 0.500 0.811
Pt 0.000 0.000 0.500
CELL_PARAMETERS angstrom
4.262 0.000 0.000
0.000 4.262 0.000
0.000 0.000 10.739
```

Computed properties:
Calculated formation energy, eV per atom: -0.466



Here is crystalline CeTiAu2 at its relaxed geometry from the Alexandria database. Energies are from PBE. Values from VASP.

The structure in Quantum ESPRESSO input format:
```
&SYSTEM
  ibrav = 0, nat = 4, ntyp = 3
/
ATOMIC_SPECIES
Ce 140.12 Ce.upf
Ti 47.87 Ti.upf
Au 196.97 Au.upf
ATOMIC_POSITIONS crystal
Ce 0.000 0.000 0.000
Ti 0.500 0.500 0.500
Au 0.213 0.213 0.213
Au 0.787 0.787 0.787
CELL_PARAMETERS angstrom
2.316 1.337 4.875
-2.316 1.337 4.875
0.000 -2.675 4.875
```

Computed properties:
Calculated formation energy, eV per atom: -0.413
Energy relative to the lowest polymorph listed for this composition, eV per formula unit: 0.11



Here is crystalline Cs3ErTh2Se6 at its relaxed geometry from the Alexandria database. Energies are from PBE. Values from VASP.

The structure in Quantum ESPRESSO input format:
```
&SYSTEM
  ibrav = 0, nat = 12, ntyp = 4
/
ATOMIC_SPECIES
Cs 132.91 Cs.upf
Er 167.26 Er.upf
Th 232.04 Th.upf
Se 78.96 Se.upf
ATOMIC_POSITIONS crystal
Cs 0.000 0.000 0.000
Cs 0.332 0.668 0.000
Cs 0.668 0.332 0.000
Er 0.500 0.500 0.500
Th 0.166 0.834 0.500
Th 0.834 0.166 0.500
Se 0.110 0.436 0.309
Se 0.238 0.238 0.692
Se 0.436 0.110 0.309
Se 0.564 0.890 0.691
Se 0.762 0.762 0.308
Se 0.890 0.564 0.691
CELL_PARAMETERS angstrom
3.707 -6.419 0.000
3.707 6.419 0.000
-2.473 0.000 8.470
```

Computed properties:
Formation energy (no corrections), meV per atom: -1577



Here is crystalline Y3Co8Cu at its relaxed geometry from the Alexandria database. Energies are from PBE. Values from VASP.

The structure in Quantum ESPRESSO input format:
```
&SYSTEM
  ibrav = 0, nat = 12, ntyp = 3
/
ATOMIC_SPECIES
Y 88.91 Y.upf
Co 58.93 Co.upf
Cu 63.55 Cu.upf
ATOMIC_POSITIONS crystal
Y 0.000 0.000 0.000
Y 0.129 0.129 0.129
Y 0.615 0.615 0.615
Co 0.060 0.060 0.559
Co 0.060 0.559 0.060
Co 0.067 0.562 0.562
Co 0.312 0.312 0.312
Co 0.559 0.060 0.060
Co 0.562 0.067 0.562
Co 0.562 0.562 0.067
Co 0.813 0.813 0.813
Cu 0.494 0.494 0.494
CELL_PARAMETERS angstrom
2.499 1.443 8.151
-2.499 1.443 8.151
0.000 -2.885 8.151
```

Computed properties:
Calculated formation energy, eV per atom: -0.110



Here is crystalline BeNb2N at its relaxed geometry from the Alexandria database. Energies are from PBE. Values from VASP.

The structure in Quantum ESPRESSO input format:
```
&SYSTEM
  ibrav = 0, nat = 4, ntyp = 3
/
ATOMIC_SPECIES
Be 9.01 Be.upf
Nb 92.91 Nb.upf
N 14.01 N.upf
ATOMIC_POSITIONS crystal
Be 0.000 0.000 0.000
Nb 0.234 0.234 0.234
Nb 0.766 0.766 0.766
N 0.500 0.500 0.500
CELL_PARAMETERS angstrom
1.577 0.911 5.994
-1.577 0.911 5.994
0.000 -1.821 5.994
```

Computed properties:
Formation energy (no corrections), meV per atom: -413
Energy relative to the lowest polymorph listed for this composition, eV per formula unit: 0.00



Here is crystalline Pb2Br at its relaxed geometry from the Alexandria database. Energies are from PBE. Values from VASP.

The structure in Quantum ESPRESSO input format:
```
&SYSTEM
  ibrav = 0, nat = 3, ntyp = 2
/
ATOMIC_SPECIES
Pb 207.20 Pb.upf
Br 79.90 Br.upf
ATOMIC_POSITIONS crystal
Pb 0.165 0.165 0.000
Pb 0.835 0.835 0.000
Br 0.500 0.500 0.000
CELL_PARAMETERS angstrom
-1.818 1.818 7.013
1.818 -1.818 7.013
1.818 1.818 -7.013
```

Computed properties:
Formation energy (no corrections), meV per atom: -205
Energy relative to the lowest polymorph listed for this composition, eV per formula unit: 0.21



Here is crystalline Cr2In2Si2C at its relaxed geometry from the Alexandria database. Energies are from PBE. Values from VASP.

The structure in Quantum ESPRESSO input format:
```
&SYSTEM
  ibrav = 0, nat = 7, ntyp = 4
/
ATOMIC_SPECIES
Cr 52.00 Cr.upf
In 114.82 In.upf
Si 28.09 Si.upf
C 12.01 C.upf
ATOMIC_POSITIONS crystal
Cr 0.158 0.135 0.048
Cr 0.842 0.865 0.952
In 0.303 0.620 0.272
In 0.697 0.380 0.728
Si 0.455 0.906 0.684
Si 0.545 0.094 0.316
C 0.000 0.500 0.000
CELL_PARAMETERS angstrom
3.804 0.000 0.000
1.886 5.091 0.000
1.896 0.297 5.951
```

Computed properties:
Formation energy (no corrections), meV per atom: 387



Here is crystalline Cr2TcTe at its relaxed geometry from the Alexandria database. Energies are from PBE. Values from VASP.

The structure in Quantum ESPRESSO input format:
```
&SYSTEM
  ibrav = 0, nat = 4, ntyp = 3
/
ATOMIC_SPECIES
Cr 52.00 Cr.upf
Tc 98.00 Tc.upf
Te 127.60 Te.upf
ATOMIC_POSITIONS crystal
Cr 0.000 0.500 0.000
Cr 0.500 0.000 0.000
Tc 0.000 0.000 0.500
Te 0.500 0.500 0.500
CELL_PARAMETERS angstrom
3.972 0.000 0.000
0.000 3.972 0.000
0.000 0.000 3.897
```

Computed properties:
Formation energy (no corrections), meV per atom: 448



Here is crystalline Pm2CdPd6 at its relaxed geometry from the Alexandria database. Energies are from PBE. Values from VASP.

The structure in Quantum ESPRESSO input format:
```
&SYSTEM
  ibrav = 0, nat = 9, ntyp = 3
/
ATOMIC_SPECIES
Pm 145.00 Pm.upf
Cd 112.41 Cd.upf
Pd 106.42 Pd.upf
ATOMIC_POSITIONS crystal
Pm 0.177 0.177 0.174
Pm 0.823 0.823 0.826
Cd 0.500 0.500 0.500
Pd 0.063 0.627 0.346
Pd 0.292 0.708 0.000
Pd 0.373 0.937 0.654
Pd 0.627 0.063 0.346
Pd 0.708 0.292 0.000
Pd 0.937 0.373 0.654
CELL_PARAMETERS angstrom
5.390 -4.183 0.000
5.390 4.183 0.000
-1.877 0.000 4.112
```

Computed properties:
Calculated formation energy, eV per atom: -0.434
Energy relative to the lowest polymorph listed for this composition, eV per formula unit: 1.89



Here is crystalline AcMg10Pd3 at its relaxed geometry from the Alexandria database. Energies are from PBE. Values from VASP.

The structure in Quantum ESPRESSO input format:
```
&SYSTEM
  ibrav = 0, nat = 28, ntyp = 3
/
ATOMIC_SPECIES
Ac 227.00 Ac.upf
Mg 24.30 Mg.upf
Pd 106.42 Pd.upf
ATOMIC_POSITIONS crystal
Ac 0.250 0.250 0.250
Ac 0.750 0.750 0.750
Mg 0.000 0.000 0.336
Mg 0.000 0.000 0.664
Mg 0.000 0.336 0.000
Mg 0.000 0.336 0.664
Mg 0.000 0.664 0.000
Mg 0.000 0.664 0.336
Mg 0.172 0.609 0.609
Mg 0.336 0.000 0.000
Mg 0.336 0.000 0.664
Mg 0.336 0.664 0.000
Mg 0.391 0.391 0.391
Mg 0.391 0.391 0.828
Mg 0.391 0.828 0.391
Mg 0.609 0.172 0.609
Mg 0.609 0.609 0.172
Mg 0.609 0.609 0.609
Mg 0.664 0.000 0.000
Mg 0.664 0.000 0.336
Mg 0.664 0.336 0.000
Mg 0.828 0.391 0.391
Pd 0.267 0.267 0.733
Pd 0.267 0.733 0.267
Pd 0.267 0.733 0.733
Pd 0.733 0.267 0.267
Pd 0.733 0.267 0.733
Pd 0.733 0.733 0.267
CELL_PARAMETERS angstrom
0.000 6.887 6.887
6.887 0.000 6.887
6.887 6.887 0.000
```

Computed properties:
Calculated formation energy, eV per atom: -0.288



Here is crystalline In2CoCuPt at its relaxed geometry from the Alexandria database. Energies are from PBE. Values from VASP.

The structure in Quantum ESPRESSO input format:
```
&SYSTEM
  ibrav = 0, nat = 5, ntyp = 4
/
ATOMIC_SPECIES
In 114.82 In.upf
Co 58.93 Co.upf
Cu 63.55 Cu.upf
Pt 195.08 Pt.upf
ATOMIC_POSITIONS crystal
In 0.000 0.500 0.000
In 0.500 0.000 0.000
Co 0.000 0.000 0.500
Cu 0.500 0.500 0.500
Pt 0.500 0.500 0.000
CELL_PARAMETERS angstrom
5.085 0.000 0.000
0.000 5.085 0.000
0.000 0.000 4.806
```

Computed properties:
Calculated formation energy, eV per atom: 0.707



Here is crystalline TbMg4Sc2 at its relaxed geometry from the Alexandria database. Energies are from PBE. Values from VASP.

The structure in Quantum ESPRESSO input format:
```
&SYSTEM
  ibrav = 0, nat = 7, ntyp = 3
/
ATOMIC_SPECIES
Tb 158.93 Tb.upf
Mg 24.30 Mg.upf
Sc 44.96 Sc.upf
ATOMIC_POSITIONS crystal
Tb 0.000 0.000 0.000
Mg 0.000 0.500 0.000
Mg 0.274 0.726 0.500
Mg 0.500 0.000 0.000
Mg 0.726 0.274 0.500
Sc 0.297 0.297 0.500
Sc 0.703 0.703 0.500
CELL_PARAMETERS angstrom
4.990 -5.383 0.000
4.990 5.383 0.000
0.000 0.000 3.349
```

Computed properties:
Calculated formation energy, eV per atom: 0.130
Energy relative to the lowest polymorph listed for this composition, eV per formula unit: 0.00



Here is crystalline CaCu4Mo at its relaxed geometry from the Alexandria database. Energies are from PBE. Values from VASP.

The structure in Quantum ESPRESSO input format:
```
&SYSTEM
  ibrav = 0, nat = 6, ntyp = 3
/
ATOMIC_SPECIES
Ca 40.08 Ca.upf
Cu 63.55 Cu.upf
Mo 95.94 Mo.upf
ATOMIC_POSITIONS crystal
Ca 0.000 0.000 0.000
Cu 0.127 0.624 0.624
Cu 0.624 0.127 0.624
Cu 0.624 0.624 0.127
Cu 0.624 0.624 0.624
Mo 0.250 0.250 0.250
CELL_PARAMETERS angstrom
0.000 3.580 3.580
3.580 0.000 3.580
3.580 3.580 0.000
```

Computed properties:
Calculated formation energy, eV per atom: 0.281



Here is crystalline ZnAgBi2 at its relaxed geometry from the Alexandria database. Energies are from PBE. Values from VASP.

The structure in Quantum ESPRESSO input format:
```
&SYSTEM
  ibrav = 0, nat = 8, ntyp = 3
/
ATOMIC_SPECIES
Zn 65.41 Zn.upf
Ag 107.87 Ag.upf
Bi 208.98 Bi.upf
ATOMIC_POSITIONS crystal
Zn 0.000 0.000 0.000
Zn 0.750 0.250 0.500
Ag 0.250 0.750 0.500
Ag 0.500 0.500 0.000
Bi 0.128 0.625 0.003
Bi 0.375 0.378 0.503
Bi 0.622 0.125 0.997
Bi 0.875 0.872 0.497
CELL_PARAMETERS angstrom
-2.412 2.412 9.586
2.412 -2.412 9.586
2.412 2.412 -9.586
```

Computed properties:
Calculated formation energy, eV per atom: 0.200



Here is crystalline K2YHgCl6 at its relaxed geometry from the Alexandria database. Energies are from PBE. Values from VASP.

The structure in Quantum ESPRESSO input format:
```
&SYSTEM
  ibrav = 0, nat = 10, ntyp = 4
/
ATOMIC_SPECIES
K 39.10 K.upf
Y 88.91 Y.upf
Hg 200.59 Hg.upf
Cl 35.45 Cl.upf
ATOMIC_POSITIONS crystal
K 0.250 0.250 0.250
K 0.750 0.750 0.750
Y 0.000 0.000 0.000
Hg 0.500 0.500 0.500
Cl 0.237 0.237 0.763
Cl 0.237 0.763 0.237
Cl 0.237 0.763 0.763
Cl 0.763 0.237 0.237
Cl 0.763 0.237 0.763
Cl 0.763 0.763 0.237
CELL_PARAMETERS angstrom
0.000 5.549 5.549
5.549 0.000 5.549
5.549 5.549 0.000
```

Computed properties:
Formation energy (no corrections), meV per atom: -1672



Here is crystalline SrFe2Sn2 at its relaxed geometry from the Alexandria database. Energies are from PBE. Values from VASP.

The structure in Quantum ESPRESSO input format:
```
&SYSTEM
  ibrav = 0, nat = 5, ntyp = 3
/
ATOMIC_SPECIES
Sr 87.62 Sr.upf
Fe 55.84 Fe.upf
Sn 118.71 Sn.upf
ATOMIC_POSITIONS crystal
Sr 0.000 0.000 0.000
Fe 0.389 0.389 0.000
Fe 0.611 0.611 0.000
Sn 0.250 0.750 0.500
Sn 0.750 0.250 0.500
CELL_PARAMETERS angstrom
-2.357 2.357 4.943
2.357 -2.357 4.943
2.357 2.357 -4.943
```

Computed properties:
Calculated formation energy, eV per atom: 0.031